NpTiSi | GGA-PBE | relaxed

For the magnetic moment, the calculation gives 12.913 Bohr magnetons per cell. As for the total energy: -9.03 eV per atom. The value obtained for the mass density is 9864 kg/m3. The value obtained for the formation energy without anion corrections is -0.27 eV/atom.

CIF file:
```
data_NpTiSi
_cell_length_a 5.339
_cell_length_b 4.498
_cell_length_c 8.774
_cell_angle_alpha 90.00
_cell_angle_beta 90.00
_cell_angle_gamma 90.00
_symmetry_space_group_name_H-M 'P n m a'
_symmetry_Int_Tables_number 62
_symmetry_space_group_name_Hall '-P 2ac 2n'
loop_
_atom_site_label
_atom_site_type_symbol
_atom_site_fract_x
_atom_site_fract_y
_atom_site_fract_z
Np1 Np 0.095 0.250 0.213
Ti1 Ti 0.165 0.250 0.543
Si1 Si 0.191 0.250 0.887
```

=====

HfGaTe2Ir | GGA-PBE | relaxed

For the magnetic moment, the calculation gives 0.823 Bohr magnetons per cell. As for the total energy: -5.17 eV per atom. The value obtained for the mass density is 7472 kg/m3. The value obtained for the formation energy without anion corrections is 0.46 eV/atom.

CIF file:
```
data_HfGaTe2Ir
_cell_length_a 5.591
_cell_length_b 5.591
_cell_length_c 4.945
_cell_angle_alpha 90.00
_cell_angle_beta 90.00
_cell_angle_gamma 90.00
_symmetry_space_group_name_H-M 'P 4/m m m'
_symmetry_Int_Tables_number 123
_symmetry_space_group_name_Hall '-P 4 2'
loop_
_atom_site_label
_atom_site_type_symbol
_atom_site_fract_x
_atom_site_fract_y
_atom_site_fract_z
Hf1 Hf 0.000 0.000 0.000
Ga1 Ga 0.500 0.500 0.500
Te1 Te 0.000 0.500 0.000
Ir1 Ir 0.000 0.000 0.500
```

=====

LaYBe2 | GGA-PBE | relaxed

The energy relative to the elements is 333 meV per atom. For the magnetic moment, the calculation gives 0.001 Bohr magnetons per cell. As for the total energy: -4.38 eV per atom. The value obtained for the mass density is 4962 kg/m3.

CIF file:
```
data_LaYBe2
_cell_length_a 3.149
_cell_length_b 3.149
_cell_length_c 8.299
_cell_angle_alpha 90.00
_cell_angle_beta 90.00
_cell_angle_gamma 90.00
_symmetry_space_group_name_H-M 'P 4 m m'
_symmetry_Int_Tables_number 99
_symmetry_space_group_name_Hall 'P 4 -2'
loop_
_atom_site_label
_atom_site_type_symbol
_atom_site_fract_x
_atom_site_fract_y
_atom_site_fract_z
La1 La 0.000 0.000 0.000
Y1 Y 0.500 0.500 0.377
Be1 Be 0.000 0.000 0.621
Be2 Be 0.500 0.500 0.730
```

=====

PHOsN | GGA-PBE | relaxed

For the magnetic moment, the calculation gives 0.000 Bohr magnetons per cell. As for the total energy: -6.85 eV per atom. The value obtained for the mass density is 8784 kg/m3.

CIF file:
```
data_PHOsN
_cell_length_a 5.352
_cell_length_b 2.704
_cell_length_c 6.172
_cell_angle_alpha 90.00
_cell_angle_beta 90.44
_cell_angle_gamma 90.00
_symmetry_space_group_name_H-M 'C 1 m 1'
_symmetry_Int_Tables_number 8
_symmetry_space_group_name_Hall 'C -2y'
loop_
_atom_site_label
_atom_site_type_symbol
_atom_site_fract_x
_atom_site_fract_y
_atom_site_fract_z
P1 P 0.000 0.000 0.000
H1 H 0.401 0.000 0.672
Os1 Os 0.204 0.500 0.260
N1 N 0.493 0.000 0.821
```

=====

RbRe2NiS8 | GGA-PBE | relaxed

For the magnetic moment, the calculation gives 0.000 Bohr magnetons per cell. As for the total energy: -5.75 eV per atom. The value obtained for the mass density is 4264 kg/m3. The value obtained for the formation energy without anion corrections is -0.36 eV/atom.

CIF file:
```
data_RbRe2NiS8
_cell_length_a 6.0106
_cell_length_b 6.0106
_cell_length_c 28.8671
_cell_angle_alpha 90.00
_cell_angle_beta 90.00
_cell_angle_gamma 120.00
_symmetry_space_group_name_H-M 'R -3'
_symmetry_Int_Tables_number 148
_symmetry_space_group_name_Hall '-R 3'
loop_
_atom_site_label
_atom_site_type_symbol
_atom_site_fract_x
_atom_site_fract_y
_atom_site_fract_z
Rb1 Rb 0.0000 0.0000 0.0000
Re1 Re 0.0000 0.0000 0.2409
Ni1 Ni 0.0000 0.0000 0.5000
S1 S 0.0000 0.0000 0.3158
S2 S 0.0021 0.3243 0.4530
```

=====

YBI2O | GGA-PBE | relaxed

For the magnetic moment, the calculation gives 0.073 Bohr magnetons per cell. As for the total energy: -4.52 eV per atom. The value obtained for the mass density is 3852 kg/m3. The value obtained for the formation energy without anion corrections is -0.28 eV/atom.

CIF file:
```
data_YBI2O
_cell_length_a 6.183
_cell_length_b 6.183
_cell_length_c 4.167
_cell_angle_alpha 90.00
_cell_angle_beta 90.00
_cell_angle_gamma 90.00
_symmetry_space_group_name_H-M 'P 4/m m m'
_symmetry_Int_Tables_number 123
_symmetry_space_group_name_Hall '-P 4 2'
loop_
_atom_site_label
_atom_site_type_symbol
_atom_site_fract_x
_atom_site_fract_y
_atom_site_fract_z
Y1 Y 0.000 0.000 0.000
B1 B 0.500 0.500 0.500
I1 I 0.000 0.500 0.000
O1 O 0.000 0.000 0.500
```

=====

Nd2YAg4 | GGA-PBE | relaxed

The energy relative to the elements is -108 meV per atom. For the magnetic moment, the calculation gives 0.000 Bohr magnetons per cell. As for the total energy: -4.02 eV per atom. The value obtained for the mass density is 7125 kg/m3.

CIF file:
```
data_Nd2YAg4
_cell_length_a 5.405
_cell_length_b 5.405
_cell_length_c 12.905
_cell_angle_alpha 90.00
_cell_angle_beta 90.00
_cell_angle_gamma 90.00
_symmetry_space_group_name_H-M 'I 4/m m m'
_symmetry_Int_Tables_number 139
_symmetry_space_group_name_Hall '-I 4 2'
loop_
_atom_site_label
_atom_site_type_symbol
_atom_site_fract_x
_atom_site_fract_y
_atom_site_fract_z
Nd1 Nd 0.000 0.000 0.219
Y1 Y 0.000 0.000 0.500
Ag1 Ag 0.000 0.500 0.115
```

=====

ScZn2Tc | GGA-PBE | relaxed

The energy relative to the elements is -7 meV per atom. For the magnetic moment, the calculation gives 0.884 Bohr magnetons per cell. As for the total energy: -4.82 eV per atom. The value obtained for the mass density is 6939 kg/m3.

CIF file:
```
data_ScZn2Tc
_cell_length_a 2.946
_cell_length_b 2.946
_cell_length_c 7.547
_cell_angle_alpha 90.00
_cell_angle_beta 90.00
_cell_angle_gamma 90.00
_symmetry_space_group_name_H-M 'P 4 m m'
_symmetry_Int_Tables_number 99
_symmetry_space_group_name_Hall 'P 4 -2'
loop_
_atom_site_label
_atom_site_type_symbol
_atom_site_fract_x
_atom_site_fract_y
_atom_site_fract_z
Sc1 Sc 0.000 0.000 0.000
Zn1 Zn 0.000 0.000 0.491
Zn2 Zn 0.500 0.500 0.714
Tc1 Tc 0.500 0.500 0.265
```

=====

PuAgAsO | GGA-PBE | relaxed

For the magnetic moment, the calculation gives 8.408 Bohr magnetons per cell. As for the total energy: -8.13 eV per atom. The value obtained for the mass density is 10365 kg/m3. The value obtained for the formation energy without anion corrections is -1.43 eV/atom.

CIF file:
```
data_PuAgAsO
_cell_length_a 3.981
_cell_length_b 3.981
_cell_length_c 8.951
_cell_angle_alpha 90.00
_cell_angle_beta 90.00
_cell_angle_gamma 90.00
_symmetry_space_group_name_H-M 'P 4/n m m'
_symmetry_Int_Tables_number 129
loop_
_symmetry_equiv_pos_as_xyz
'x,y,z'
'-x,-y,-z'
'-y+1/2,x,z'
'y+1/2,-x,-z'
'-x+1/2,-y+1/2,z'
'x+1/2,y+1/2,-z'
'y,-x+1/2,z'
'-y,x+1/2,-z'
'x+1/2,-y,-z'
'-x+1/2,y,z'
'-y,-x,-z'
'y,x,z'
'-x,y+1/2,-z'
'x,-y+1/2,z'
'y+1/2,x+1/2,-z'
'-y+1/2,-x+1/2,z'
loop_
_atom_site_label
_atom_site_type_symbol
_atom_site_fract_x
_atom_site_fract_y
_atom_site_fract_z
Pu1 Pu 0.250 0.250 0.133
Ag1 Ag 0.250 0.750 0.500
As1 As 0.250 0.250 0.708
O1 O 0.250 0.750 0.000
```

=====

Zn3CdPt | GGA-PBE | relaxed

The energy relative to the elements is -14 meV per atom. For the magnetic moment, the calculation gives 0.000 Bohr magnetons per cell. As for the total energy: -2.17 eV per atom. The value obtained for the mass density is 7254 kg/m3.

CIF file:
```
data_Zn3CdPt
_cell_length_a 4.867
_cell_length_b 4.867
_cell_length_c 4.867
_cell_angle_alpha 90.00
_cell_angle_beta 90.00
_cell_angle_gamma 90.00
_symmetry_space_group_name_H-M 'P m -3 m'
_symmetry_Int_Tables_number 221
_symmetry_space_group_name_Hall '-P 4 2 3'
loop_
_atom_site_label
_atom_site_type_symbol
_atom_site_fract_x
_atom_site_fract_y
_atom_site_fract_z
Zn1 Zn 0.000 0.000 0.500
Cd1 Cd 0.500 0.500 0.500
Pt1 Pt 0.000 0.000 0.000
```

=====

TmZr2Ni9 | GGA-PBE | relaxed

The energy relative to the elements is -435 meV per atom. For the magnetic moment, the calculation gives 0.000 Bohr magnetons per cell. As for the total energy: -6.57 eV per atom. The value obtained for the mass density is 8902 kg/m3.

CIF file:
```
data_TmZr2Ni9
_cell_length_a 4.8788
_cell_length_b 4.8788
_cell_length_c 23.8786
_cell_angle_alpha 90.00
_cell_angle_beta 90.00
_cell_angle_gamma 120.00
_symmetry_space_group_name_H-M 'R -3 m'
_symmetry_Int_Tables_number 166
_symmetry_space_group_name_Hall '-R 3 2"'
loop_
_atom_site_label
_atom_site_type_symbol
_atom_site_fract_x
_atom_site_fract_y
_atom_site_fract_z
Tm1 Tm 0.0000 0.0000 0.0000
Zr1 Zr 0.0000 0.0000 0.1389
Ni1 Ni 0.0000 0.0000 0.3337
Ni2 Ni 0.0000 0.0000 0.5000
Ni3 Ni 0.0038 0.5019 0.9154
```

=====

Nb8Si2Sb4Pd | GGA-PBE | relaxed

For the magnetic moment, the calculation gives 0.000 Bohr magnetons per cell. As for the total energy: -8.02 eV per atom. The value obtained for the mass density is 8313 kg/m3. The value obtained for the formation energy without anion corrections is -0.48 eV/atom.

CIF file:
```
data_Nb8Si2Sb4Pd
_cell_length_a 10.541
_cell_length_b 10.541
_cell_length_c 5.008
_cell_angle_alpha 90.00
_cell_angle_beta 90.00
_cell_angle_gamma 90.00
_symmetry_space_group_name_H-M 'I -4 2 m'
_symmetry_Int_Tables_number 121
_symmetry_space_group_name_Hall 'I -4 2'
loop_
_atom_site_label
_atom_site_type_symbol
_atom_site_fract_x
_atom_site_fract_y
_atom_site_fract_z
Nb1 Nb 0.081 0.293 0.244
Si1 Si 0.000 0.500 0.000
Sb1 Sb 0.152 0.152 0.723
Pd1 Pd 0.000 0.000 0.000
```

=====

MgCuW2 | GGA-PBE | relaxed

The energy relative to the elements is 319 meV per atom. For the magnetic moment, the calculation gives 0.000 Bohr magnetons per cell. As for the total energy: -7.58 eV per atom. The value obtained for the mass density is 12064 kg/m3.

CIF file:
```
data_MgCuW2
_cell_length_a 2.707
_cell_length_b 2.707
_cell_length_c 8.560
_cell_angle_alpha 90.00
_cell_angle_beta 90.00
_cell_angle_gamma 90.00
_symmetry_space_group_name_H-M 'P 4 m m'
_symmetry_Int_Tables_number 99
_symmetry_space_group_name_Hall 'P 4 -2'
loop_
_atom_site_label
_atom_site_type_symbol
_atom_site_fract_x
_atom_site_fract_y
_atom_site_fract_z
Mg1 Mg 0.000 0.000 0.000
Cu1 Cu 0.500 0.500 0.765
W1 W 0.000 0.000 0.540
W2 W 0.500 0.500 0.271
```

=====

AgRhBr | GGA-PBE | relaxed

For the magnetic moment, the calculation gives 0.000 Bohr magnetons per cell. As for the total energy: -3.50 eV per atom. The value obtained for the mass density is 8527 kg/m3. The value obtained for the formation energy without anion corrections is 0.46 eV/atom.

CIF file:
```
data_AgRhBr
_cell_length_a 4.4065
_cell_length_b 4.4065
_cell_length_c 3.3663
_cell_angle_alpha 90.00
_cell_angle_beta 90.00
_cell_angle_gamma 120.00
_symmetry_space_group_name_H-M 'P -6 m 2'
_symmetry_Int_Tables_number 187
_symmetry_space_group_name_Hall 'P -6 2'
loop_
_atom_site_label
_atom_site_type_symbol
_atom_site_fract_x
_atom_site_fract_y
_atom_site_fract_z
Ag1 Ag 0.0000 0.0000 0.0000
Rh1 Rh 0.6667 0.3333 0.5000
Br1 Br 0.3333 0.6667 0.5000
```